No. 1
# Cs2DyIO6 (PBE, optimized geometry)
data_Cs2DyIO6
_chemical_formula_sum 'Cs2 Dy1 I1 O6'
_space_group_name_H-M_alt 'P -3 m 1'
_space_group_IT_number 164
_space_group_name_Hall '-P 3 2"'
_cell_length_a 6.8151
_cell_length_b 6.8151
_cell_length_c 5.8574
_cell_angle_alpha 90.00
_cell_angle_beta 90.00
_cell_angle_gamma 120.00
loop_
_atom_site_label
_atom_site_type_symbol
_atom_site_fract_x
_atom_site_fract_y
_atom_site_fract_z
Cs1 Cs 0.3333 0.6667 0.3646
Dy1 Dy 0.0000 0.0000 0.0000
I1 I 0.0000 0.0000 0.5000
O1 O 0.1291 0.2582 0.7012
# DOS at the Fermi energy ... 0.00 states/eV per cell
# Formation energy from raw total energies ... -1.550 eV per atom

No. 2
# Ti4ZnOs3 (PBE, optimized geometry)
data_Ti4ZnOs3
_chemical_formula_sum 'Ti4 Zn1 Os3'
_space_group_name_H-M_alt 'P 4/m m m'
_space_group_IT_number 123
_space_group_name_Hall '-P 4 2'
_cell_length_a 3.101
_cell_length_b 3.101
_cell_length_c 12.451
_cell_angle_alpha 90.00
_cell_angle_beta 90.00
_cell_angle_gamma 90.00
loop_
_atom_site_label
_atom_site_type_symbol
_atom_site_fract_x
_atom_site_fract_y
_atom_site_fract_z
Ti1 Ti 0.000 0.000 0.124
Ti2 Ti 0.000 0.000 0.371
Zn1 Zn 0.500 0.500 0.500
Os1 Os 0.500 0.500 0.000
Os2 Os 0.500 0.500 0.250
# DOS at the Fermi energy ... 2.96 states/eV per cell
# Energy relative to the elements ... -586 meV/atom

No. 3
# TiTc2Ir2 (PBE, optimized geometry)
data_TiTc2Ir2
_chemical_formula_sum 'Ti2 Tc4 Ir4'
_space_group_name_H-M_alt 'I 4/m m m'
_space_group_IT_number 139
_space_group_name_Hall '-I 4 2'
_cell_length_a 3.848
_cell_length_b 3.848
_cell_length_c 11.339
_cell_angle_alpha 90.00
_cell_angle_beta 90.00
_cell_angle_gamma 90.00
loop_
_atom_site_label
_atom_site_type_symbol
_atom_site_fract_x
_atom_site_fract_y
_atom_site_fract_z
Ti1 Ti 0.000 0.000 0.000
Tc1 Tc 0.000 0.000 0.401
Ir1 Ir 0.000 0.500 0.250
# DOS at the Fermi energy ... 11.20 states/eV per cell
# Polymorph energy (0 for the lowest one) ... 6.75 kcal/mol of atoms
# Energy relative to the elements ... 138 meV/atom

No. 4
# NaCaSe3 (PBE, optimized geometry)
data_NaCaSe3
_chemical_formula_sum 'Na1 Ca1 Se3'
_space_group_name_H-M_alt 'P m -3 m'
_space_group_IT_number 221
_space_group_name_Hall '-P 4 2 3'
_cell_length_a 5.579
_cell_length_b 5.579
_cell_length_c 5.579
_cell_angle_alpha 90.00
_cell_angle_beta 90.00
_cell_angle_gamma 90.00
loop_
_atom_site_label
_atom_site_type_symbol
_atom_site_fract_x
_atom_site_fract_y
_atom_site_fract_z
Na1 Na 0.000 0.000 0.000
Ca1 Ca 0.500 0.500 0.500
Se1 Se 0.000 0.500 0.500
# DOS at the Fermi energy ... 3.92 states/eV per cell
# Formation energy from raw total energies ... -0.453 eV per atom
# Polymorph energy (0 for the lowest one) ... 0.00 kcal/mol of atoms